The following is a GGA-PBE calculation of an optimized crystal structure of CsAlNi3, from the Alexandria database.

It has space group Pm-3m (No. 221), with a = 4.665 Å, b = 4.665 Å, c = 4.665 Å, α = 90.00°, β = 90.00° and γ = 90.00°. The inequivalent atoms are Cs at (0.000, 0.000, 0.000), Al at (0.500, 0.500, 0.500) and Ni at (0.000, 0.500, 0.500).

The calculation puts the energy above the most stable polymorph in this dataset at 0.000 eV/atom. Its density of states at the Fermi level is 5.776 states/eV per cell. For the magnetic moment, the calculation gives 0.0 μB per cell. As for the total DFT energy (no corrections): -3.631 eV per atom.